PuZrNbO6 after structural relaxation. Source: the Alexandria database, functional PBE.

a b c (Å): 5.4355 5.4355 9.8774
angles (deg): 90.00 90.00 120.00
Sites, in units of the cell vectors:
1 Pu 0.0000 0.0000 0.0000
2 Pu 0.0000 0.0000 0.5000
3 Zr 0.3333 0.6667 0.2500
4 Zr 0.6667 0.3333 0.7500
5 Nb 0.3333 0.6667 0.7500
6 Nb 0.6667 0.3333 0.2500
7 O 0.0126 0.3600 0.6377
8 O 0.0126 0.6526 0.8623
9 O 0.3474 0.3600 0.8623
10 O 0.3474 0.9874 0.6377
11 O 0.3600 0.0126 0.1377
12 O 0.3600 0.3474 0.3623
13 O 0.6400 0.6526 0.6377
14 O 0.6400 0.9874 0.8623
15 O 0.6526 0.0126 0.3623
16 O 0.6526 0.6400 0.1377
17 O 0.9874 0.3474 0.1377
18 O 0.9874 0.6400 0.3623

## Properties
Formation energy without anion corrections = -2536 kJ/mol of formula units
Total moment = 10.0 Bohr magnetons per cell
Space-group type = P-31c
Density = 6.89 g cm⁻³